Computed, not measured: an optimized crystal structure of RbTe8Au2 at the GGA-PBE level of DFT.

The value obtained for the uncorrected formation energy is -72 meV/atom. Its volume is 38.2 Å³/atom. The density of states at the Fermi level is 0.369 states/eV/atom.

The structure belongs to space group C2/m (No. 12); the cell edges are 9.189, 20.382 and 5.306 Å and the angles 90.00°, 122.27° and 90.00°. Symmetry generates all atoms from Rb at (0.000, 0.000, 0.000), Te at (0.000, 0.250, 0.000), Te at (0.069, 0.500, 0.301), Te at (0.197, 0.153, 0.445) and Au at (0.000, 0.346, 0.500).